Arrangement A

Density functional theory data (GGA-PBE) for LaBiCl2 after structural relaxation.

Values from the calculation:
D(E_F)	0.2	states/eV per cell
spin magnetization	0.000	μB per formula unit

Cell: 10.5619 10.5619 10.5619 Å, 153.23 153.23 38.22°
Sites, in units of the cell vectors:
La 0.0000 0.0000 0.0000
La 0.7500 0.2500 0.5000
Bi 0.2500 0.7500 0.5000
Bi 0.5000 0.5000 0.0000
Cl 0.1048 0.6250 0.9798
Cl 0.3750 0.3548 0.4798
Cl 0.6452 0.1250 0.0202
Cl 0.8750 0.8952 0.5202

Arrangement B

Density functional theory data (GGA-PBE) for LaBiCl2 after structural relaxation.

Values from the calculation:
D(E_F)	2.3	states/eV per cell
spin magnetization	0.000	μB per formula unit

Cell: 11.9255 11.9255 11.9255 Å, 17.74 17.74 17.74°
Sites, in units of the cell vectors:
La 0.0000 0.0000 0.0000
Bi 0.5000 0.5000 0.5000
Cl 0.3880 0.3880 0.3880
Cl 0.6120 0.6120 0.6120

Least stable = arrangement B